Record 1
An optimized crystal structure of MgCuTc, computed with PBE.

Cell: 6.5168 6.5168 6.5168 Å, 156.44 156.44 33.56°
Last column: nearest neighbours and their distance in Å.
Positions (direct):
Mg 0.0000 0.0000 0.0000  4 Mg 2.66, 4 Cu 2.80, 4 Tc 2.90
Cu 0.3333 0.3333 0.0000  4 Cu 2.66, 4 Tc 2.71, 4 Mg 2.80
Tc 0.6767 0.6767 0.0000  4 Tc 2.66, 4 Cu 2.71, 4 Mg 2.90

ΔE to the lowest computed polymorph ... 0.191 eV/atom
Calculated density ... 7.0 g cm⁻³
Spin magnetization ... 0.00 μB per atom
Space group ... I4mm, No. 107
Fermi-level density of states ... 0.391 states/eV per atom
Energy relative to the elements ... 0.178 eV/atom



Record 2
An optimized crystal structure of Mg2CuTc, computed with PBE.

Cell: 4.8436 4.8436 4.9685 Å, 102.87 102.87 33.60°
Last column: nearest neighbours and their distance in Å.
Positions (direct):
Mg 0.2395 0.2395 0.2501  3 Cu 2.67-2.96, 3 Tc 2.79-2.82, 6 Mg 2.80-2.90
Mg 0.7605 0.7605 0.7499  3 Cu 2.67-2.96, 3 Tc 2.79-2.82, 6 Mg 2.80-2.90
Cu 0.5000 0.5000 0.0000  6 Mg 2.67-2.96, 2 Cu 2.80, 4 Tc 2.85
Tc 0.0000 0.0000 0.5000  6 Mg 2.79-2.82, 2 Tc 2.80, 4 Cu 2.85

ΔE to the lowest computed polymorph ... 0.080 eV/atom
Calculated density ... 5.6 g cm⁻³
Spin magnetization ... 0.00 μB per atom
Space group ... C2/m, No. 12
Fermi-level density of states ... 0.482 states/eV per atom
Energy relative to the elements ... 0.224 eV/atom



Record 3
An optimized crystal structure of MgCu3Tc, computed with PBE.

Cell: 4.6348 4.6348 4.6348 Å, 90.00 90.00 90.00°
Last column: nearest neighbours and their distance in Å.
Positions (direct):
Mg 0.0000 0.0000 0.0000  12 Cu 3.28
Cu 0.0000 0.5000 0.5000  2 Tc 2.32
Cu 0.5000 0.0000 0.5000  2 Tc 2.32
Cu 0.5000 0.5000 0.0000  2 Tc 2.32
Tc 0.5000 0.5000 0.5000  6 Cu 2.32

ΔE to the lowest computed polymorph ... 0.000 eV/atom
Calculated density ... 5.2 g cm⁻³
Spin magnetization ... 0.23 μB per atom
Space group ... Pm-3m, No. 221
Fermi-level density of states ... 0.963 states/eV per atom
Energy relative to the elements ... 1.116 eV/atom



Record 4
An optimized crystal structure of Mg2CuTc, computed with PBE.

Cell: 2.8114 3.7163 6.0192 Å, 90.00 90.00 90.00°
Last column: nearest neighbours and their distance in Å.
Positions (direct):
Mg 0.0000 0.0000 0.2441  4 Cu 2.75, 4 Tc 2.79, 4 Mg 2.81-3.08
Mg 0.0000 0.0000 0.7559  4 Cu 2.75, 4 Tc 2.79, 4 Mg 2.81-3.08
Cu 0.5000 0.5000 0.0000  8 Mg 2.75, 2 Cu 2.81, 2 Tc 3.01
Tc 0.5000 0.5000 0.5000  8 Mg 2.79, 2 Tc 2.81, 2 Cu 3.01

ΔE to the lowest computed polymorph ... 0.052 eV/atom
Calculated density ... 5.5 g cm⁻³
Spin magnetization ... 0.00 μB per atom
Space group ... Pmmm, No. 47
Fermi-level density of states ... 0.541 states/eV per atom
Energy relative to the elements ... 0.195 eV/atom



Record 5
An optimized crystal structure of Mg2CuTc, computed with PBE.

Cell: 4.4699 4.4699 4.4699 Å, 60.00 60.00 60.00°
Last column: nearest neighbours and their distance in Å.
Positions (direct):
Mg 0.2500 0.2500 0.2500  4 Tc 2.74, 4 Cu 2.74
Mg 0.7500 0.7500 0.7500  4 Tc 2.74, 4 Cu 2.74
Cu 0.0000 0.0000 0.0000  8 Mg 2.74
Tc 0.5000 0.5000 0.5000  8 Mg 2.74

ΔE to the lowest computed polymorph ... 0.152 eV/atom
Calculated density ... 5.5 g cm⁻³
Spin magnetization ... 0.28 μB per atom
Space group ... Fm-3m, No. 225
Fermi-level density of states ... 1.180 states/eV per atom
Energy relative to the elements ... 0.295 eV/atom



Record 6
An optimized crystal structure of MgCuTc, computed with PBE.

Cell: 6.5928 6.5118 2.6749 Å, 79.93 76.53 23.54°
Last column: nearest neighbours and their distance in Å.
Positions (direct):
Mg 0.0000 0.0000 0.0000  4 Mg 2.67, 4 Cu 2.73-2.92, 2 Tc 2.82
Cu 0.3327 0.3327 0.6673  4 Tc 2.63-2.82, 4 Cu 2.67, 4 Mg 2.73-2.92
Tc 0.6762 0.6762 0.3238  4 Cu 2.63-2.82, 4 Tc 2.67, 2 Mg 2.82

ΔE to the lowest computed polymorph ... 0.214 eV/atom
Calculated density ... 7.0 g cm⁻³
Spin magnetization ... 0.00 μB per atom
Space group ... Fmm2, No. 42
Fermi-level density of states ... 0.380 states/eV per atom
Energy relative to the elements ... 0.202 eV/atom



Which formula does entry 5 have? Mg2CuTc



What did the fifth record say?
An optimized crystal structure of Mg2CuTc, computed with PBE.

Cell: 4.4699 4.4699 4.4699 Å, 60.00 60.00 60.00°
Last column: nearest neighbours and their distance in Å.
Positions (direct):
Mg 0.2500 0.2500 0.2500  4 Tc 2.74, 4 Cu 2.74
Mg 0.7500 0.7500 0.7500  4 Tc 2.74, 4 Cu 2.74
Cu 0.0000 0.0000 0.0000  8 Mg 2.74
Tc 0.5000 0.5000 0.5000  8 Mg 2.74

ΔE to the lowest computed polymorph ... 0.152 eV/atom
Calculated density ... 5.5 g cm⁻³
Spin magnetization ... 0.28 μB per atom
Space group ... Fm-3m, No. 225
Fermi-level density of states ... 1.180 states/eV per atom
Energy relative to the elements ... 0.295 eV/atom



Which of these has the lowest calculated density? MgCu3Tc



Copy entry 2 word for word.
An optimized crystal structure of Mg2CuTc, computed with PBE.

Cell: 4.8436 4.8436 4.9685 Å, 102.87 102.87 33.60°
Last column: nearest neighbours and their distance in Å.
Positions (direct):
Mg 0.2395 0.2395 0.2501  3 Cu 2.67-2.96, 3 Tc 2.79-2.82, 6 Mg 2.80-2.90
Mg 0.7605 0.7605 0.7499  3 Cu 2.67-2.96, 3 Tc 2.79-2.82, 6 Mg 2.80-2.90
Cu 0.5000 0.5000 0.0000  6 Mg 2.67-2.96, 2 Cu 2.80, 4 Tc 2.85
Tc 0.0000 0.0000 0.5000  6 Mg 2.79-2.82, 2 Tc 2.80, 4 Cu 2.85

ΔE to the lowest computed polymorph ... 0.080 eV/atom
Calculated density ... 5.6 g cm⁻³
Spin magnetization ... 0.00 μB per atom
Space group ... C2/m, No. 12
Fermi-level density of states ... 0.482 states/eV per atom
Energy relative to the elements ... 0.224 eV/atom